Record 1
Compound: Sc2CrIr
Source: Alexandria
Functional: PBE-GGA
Structure: optimized geometry

Geometry as POSCAR:
```
Sc2CrIr
1.0
5.5802 -0.0233 -0.0080
4.6896 3.0243 -0.0080
1.8616 0.5440 4.1155
Sc Ir Cr
2 1 1
direct
0.2428 0.2428 0.2575 Sc
0.0221 0.0221 0.9776 Sc
0.7616 0.7616 0.7390 Ir
0.4735 0.4735 0.5259 Cr
```

## Properties
Volume = 17.488 Å³/atom
Size of the total moment = 1.70 μB per cell
Formation enthalpy at 0 K = -0.304 eV per atom
Electronic total energy = -8.091 eV per atom
Space-group type = Cm

=====

Record 2
Compound: CaDy2O
Source: Alexandria
Functional: PBE-GGA
Structure: optimized geometry

Geometry as POSCAR:
```
CaDy2O
1.0
3.5391 0.0000 0.0000
1.7695 3.0649 0.0000
1.7695 1.0216 9.2433
Ca Dy O
1 2 1
direct
0.0000 0.0000 0.0000 Ca
0.8800 0.8800 0.3599 Dy
0.1200 0.1200 0.6401 Dy
0.5000 0.5000 0.5000 O
```

## Properties
Volume = 25.066 Å³/atom
E_form (uncorrected) = -1.1941 eV per atom
Size of the total moment = 0.00 μB per cell
Electronic total energy = -5.235 eV per atom
Space-group type = R-3m

=====

Record 3
Compound: Ac2DyNpO6
Source: Alexandria
Functional: PBE-GGA
Structure: optimized geometry

Geometry as POSCAR:
```
Ac2DyNpO6
1.0
-1.5502 5.4668 -2.2184
-5.9558 -0.9846 1.7355
1.6683 3.6242 7.7817
Ac O Dy Np
4 12 2 2
direct
0.5140 0.5502 0.7501 Ac
0.9860 0.0502 0.7499 Ac
0.0140 0.9498 0.2501 Ac
0.4860 0.4498 0.2499 Ac
0.8775 0.5538 0.2532 O
0.1225 0.4462 0.7468 O
0.8078 0.8004 0.5647 O
0.3077 0.6996 0.0648 O
0.6985 0.3060 0.5646 O
0.3015 0.6940 0.4354 O
0.1922 0.1996 0.4353 O
0.6225 0.0538 0.2468 O
0.8015 0.8060 0.9354 O
0.1985 0.1940 0.0646 O
0.6923 0.3004 0.9352 O
0.3775 0.9462 0.7532 O
0.0000 0.5000 0.5000 Dy
0.5000 0.0000 0.0000 Dy
0.0000 0.5000 0.0000 Np
0.5000 0.0000 0.5000 Np
```

## Properties
Volume = 16.753 Å³/atom
E_form (uncorrected) = -3.1809 eV per atom
Size of the total moment = 7.99 μB per cell
Electronic total energy = -8.732 eV per atom
Space-group type = P2_1/c

=====

Record 4
Compound: ZrMn2NiRh
Source: Alexandria
Functional: PBE-GGA
Structure: optimized geometry

Geometry as POSCAR:
```
ZrMn2NiRh
1.0
-2.0153 -1.4152 3.6645
-0.0643 -4.1870 -1.6524
3.9278 -0.7921 1.8542
Ni Mn Rh Zr
1 2 1 1
direct
0.0000 0.5000 0.0000 Ni
0.5000 0.0000 0.0000 Mn
0.0000 0.0000 0.5000 Mn
0.5000 0.5000 0.5000 Rh
0.0000 0.0000 0.0000 Zr
```

## Properties
Volume = 17.550 Å³/atom
Size of the total moment = 0.15 μB per cell
Formation enthalpy at 0 K = 1.820 eV per atom
Electronic total energy = -6.184 eV per atom
Space-group type = P4/mmm

=====

Record 5
Compound: CrCd5
Source: Alexandria
Functional: PBE-GGA
Structure: optimized geometry

Geometry as POSCAR:
```
CrCd5
1.0
1.5618 5.7132 0.0286
-1.5618 5.7132 0.0286
0.0000 1.8800 7.0557
Cd Cr
5 1
direct
0.6140 0.6140 0.2681 Cd
0.6725 0.6725 0.6790 Cd
0.3314 0.3314 0.3270 Cd
0.9946 0.9946 0.9969 Cd
0.9429 0.9429 0.6172 Cd
0.2779 0.2779 0.9451 Cr
```

## Properties
Volume = 20.958 Å³/atom
Size of the total moment = 4.05 μB per cell
Formation enthalpy at 0 K = 0.161 eV per atom
Electronic total energy = -2.206 eV per atom
Space-group type = Cm

=====

Record 6
Compound: Zn3Ag
Source: Alexandria
Functional: PBE-GGA
Structure: optimized geometry

Geometry as POSCAR:
```
Zn3Ag
1.0
4.3956 0.0000 0.0000
0.0000 2.9110 0.0000
0.0000 0.0000 4.8679
Zn Ag
3 1
direct
0.0000 0.5000 0.4960 Zn
0.5000 0.5000 0.1641 Zn
0.0000 0.0000 0.0065 Zn
0.5000 0.0000 0.6668 Ag
```

## Properties
Volume = 15.572 Å³/atom
Size of the total moment = 0.00 μB per cell
Formation enthalpy at 0 K = -0.025 eV per atom
Electronic total energy = -1.693 eV per atom
Space-group type = Pmm2

=====

Record 7
Compound: TbInGa2Pd5
Source: Alexandria
Functional: PBE-GGA
Structure: optimized geometry

Geometry as POSCAR:
```
TbInGa2Pd5
1.0
4.1905 0.0000 0.0000
0.0000 4.1905 0.0000
0.0000 0.0000 9.2952
Pd In Ga Tb
5 1 2 1
direct
0.5000 0.0000 0.2783 Pd
0.0000 0.5000 0.2783 Pd
0.5000 0.0000 0.7217 Pd
0.0000 0.5000 0.7217 Pd
0.5000 0.5000 0.5000 Pd
0.0000 0.0000 0.0000 In
0.5000 0.5000 0.1326 Ga
0.5000 0.5000 0.8674 Ga
0.0000 0.0000 0.5000 Tb
```

## Properties
Volume = 18.136 Å³/atom
Size of the total moment = 0.00 μB per cell
Formation enthalpy at 0 K = -0.593 eV per atom
Electronic total energy = -4.969 eV per atom
Space-group type = P4/mmm

=====

Record 8
Compound: Cs2NaAuBr6
Source: Alexandria
Functional: PBE-GGA
Structure: optimized geometry

Geometry as POSCAR:
```
Cs2NaAuBr6
1.0
7.8272 0.0001 0.0002
0.0001 7.8280 0.0001
3.9140 3.9145 6.1640
Cs Br Na Au
2 6 1 1
direct
0.2500 0.7500 0.5001 Cs
0.7500 0.2500 0.4999 Cs
0.7244 0.2753 0.0000 Br
0.7247 0.7244 0.0000 Br
0.7774 0.7774 0.4453 Br
0.2753 0.2756 0.0000 Br
0.2756 0.7247 0.0000 Br
0.2226 0.2226 0.5547 Br
0.0000 0.0000 0.0000 Na
0.5000 0.5000 0.0000 Au
```

## Properties
Volume = 37.767 Å³/atom
E_form (uncorrected) = -1.0703 eV per atom
Size of the total moment = 0.00 μB per cell
Electronic total energy = -2.704 eV per atom
Space-group type = I4/mmm

=====

What is the formula in the third record? Ac2DyNpO6

=====

Copy entry 1 word for word.
Compound: Sc2CrIr
Source: Alexandria
Functional: PBE-GGA
Structure: optimized geometry

Geometry as POSCAR:
```
Sc2CrIr
1.0
5.5802 -0.0233 -0.0080
4.6896 3.0243 -0.0080
1.8616 0.5440 4.1155
Sc Ir Cr
2 1 1
direct
0.2428 0.2428 0.2575 Sc
0.0221 0.0221 0.9776 Sc
0.7616 0.7616 0.7390 Ir
0.4735 0.4735 0.5259 Cr
```

## Properties
Volume = 17.488 Å³/atom
Size of the total moment = 1.70 μB per cell
Formation enthalpy at 0 K = -0.304 eV per atom
Electronic total energy = -8.091 eV per atom
Space-group type = Cm